Entry 1:
This record from OQMD via LeMat-Bulk describes Hf4GaAuC2 after structural relaxation. The functional is PBE-GGA.

As for the space group: P-6m2 (187).

Structure (POSCAR):
```
Hf4GaAuC2
1.0
-1.6111 2.5996 1.1994
-0.6420 -3.0071 1.1563
9.9714 1.6480 9.8221
Au C Ga Hf
1 2 1 4
direct
0.6667 0.3333 0.5000
0.3333 0.6667 0.2481
0.3333 0.6667 0.7519
0.0000 0.0000 0.0000
0.6667 0.3333 0.1598
0.0000 0.0000 0.3392
0.0000 0.0000 0.6608
0.6667 0.3333 0.8402
```


Entry 2:
This record from OQMD via LeMat-Bulk describes GdInPt4 after structural relaxation. The functional is PBE-GGA.

As for the space group: F-43m (216).

Structure (POSCAR):
```
GdInPt4
1.0
0.0000 3.8237 3.8237
3.8237 0.0000 3.8237
3.8237 3.8237 0.0000
Gd In Pt
1 1 4
direct
0.0000 0.0000 0.0000
0.7500 0.7500 0.7500
0.8740 0.3753 0.3753
0.3753 0.8740 0.3753
0.3753 0.3753 0.3753
0.3753 0.3753 0.8740
```


Entry 3:
This record from OQMD via LeMat-Bulk describes TmScAl4Ni2 after structural relaxation. The functional is PBE-GGA.

As for the space group: Amm2 (38).

Structure (POSCAR):
```
TmScAl4Ni2
1.0
-1.9469 -5.7778 2.9682
1.0815 2.0638 4.7266
-2.7146 2.7538 3.5800
Al Ni Sc Tm
4 2 1 1
direct
0.2978 0.1489 0.1489
0.7022 0.1489 0.1489
0.1940 0.8490 0.8490
0.8060 0.8490 0.8490
0.0000 0.2886 0.2886
0.5000 0.7160 0.7160
0.0000 0.5635 0.5635
0.5000 0.4361 0.4361
```


no.,density (g cm⁻³),electronic total energy (eV per atom)
1,12.67,-8.810
2,15.63,-6.080
3,5.49,-5.266